# Cu2SiTe4 (PBE, optimized geometry)
# **Formation energy (no corrections)**: -0.02 eV per atom
# **VASP energy**: -3.7608 eV per atom
data_Cu2SiTe4
_chemical_formula_sum 'Cu2 Si1 Te4'
_symmetry_space_group_name_H-M 'P -4 2 m'
_symmetry_Int_Tables_number 111
_cell_length_a 6.035
_cell_length_b 6.035
_cell_length_c 5.416
_cell_angle_alpha 90.00
_cell_angle_beta 90.00
_cell_angle_gamma 90.00
loop_
_symmetry_equiv_pos_as_xyz
'x,y,z'
'y,-x,-z'
'-x,-y,z'
'-y,x,-z'
'x,-y,-z'
'y,x,z'
'-x,y,-z'
'-y,-x,z'
loop_
_atom_site_label
_atom_site_type_symbol
_atom_site_fract_x
_atom_site_fract_y
_atom_site_fract_z
Cu1 Cu 0.000 0.500 0.000
Si1 Si 0.000 0.000 0.500
Te1 Te 0.258 0.258 0.740